Entry A
Ti2Co2Pd | PBE-GGA | optimized geometry

Lattice parameters (Å, degrees): 3.372 3.372 6.948 75.96 75.96 90.00
Atoms (fractional coordinates):
Co  0.750  0.250  0.500
Co  0.250  0.750  0.500
Ti  0.618  0.618  0.764
Ti  0.382  0.382  0.236
Pd  0.000  0.000  0.000

space group	I4/mmm
DOS(E_F)	1.09	states/eV/atom
crystal system	tetragonal

Entry B
Ti2Co2Pd | PBE-GGA | optimized geometry

Lattice parameters (Å, degrees): 6.839 6.839 2.903 90.00 90.00 90.00
Atoms (fractional coordinates):
Co  0.130  0.370  0.000
Co  0.370  0.870  0.000
Co  0.870  0.630  0.000
Co  0.630  0.130  0.000
Pd  0.500  0.500  0.000
Pd  0.000  0.000  0.000
Ti  0.333  0.167  0.500
Ti  0.667  0.833  0.500
Ti  0.167  0.667  0.500
Ti  0.833  0.333  0.500

space group	P4/mbm
DOS(E_F)	1.06	states/eV/atom
crystal system	tetragonal

Stability summary - winner: entry B; margin: 30.0 kJ/mol of atoms.

Entry A
Ti5CoPd4 | PBE-GGA | optimized geometry

Lattice parameters (Å, degrees): 4.792 6.342 6.342 81.79 67.80 67.80
Atoms (fractional coordinates):
Pd  0.149  0.281  0.423
Pd  0.430  0.423  0.719
Pd  0.572  0.577  0.281
Pd  0.853  0.719  0.577
Ti  0.130  0.632  0.111
Ti  0.240  0.889  0.632
Ti  0.501  0.000  0.000
Ti  0.872  0.368  0.889
Ti  0.761  0.111  0.368
Co  0.001  0.000  0.000

space group	I4/m
DOS(E_F)	1.00	states/eV/atom
crystal system	tetragonal

Entry B
Ti5CoPd4 | PBE-GGA | optimized geometry

Lattice parameters (Å, degrees): 3.290 3.290 14.175 90.00 90.00 90.00
Atoms (fractional coordinates):
Pd  0.000  0.000  0.398
Pd  0.000  0.000  0.602
Pd  0.000  0.000  0.804
Pd  0.000  0.000  0.196
Ti  0.500  0.500  0.909
Ti  0.500  0.500  0.704
Ti  0.500  0.500  0.296
Ti  0.500  0.500  0.500
Ti  0.500  0.500  0.091
Co  0.000  0.000  0.000

space group	P4/mmm
DOS(E_F)	1.37	states/eV/atom
crystal system	tetragonal

Stability summary - winner: entry B; margin: 11.9 kJ/mol of atoms.

Entry A
TiCoPd | PBE-GGA | optimized geometry

Lattice parameters (Å, degrees): 6.525 7.172 7.172 63.42 62.94 62.94
Atoms (fractional coordinates):
Co  0.222  0.955  0.820
Co  0.222  0.320  0.455
Co  0.996  0.045  0.180
Co  0.496  0.500  0.500
Co  0.996  0.680  0.545
Co  0.496  0.000  0.000
Ti  0.306  0.696  0.196
Ti  0.944  0.845  0.796
Ti  0.585  0.704  0.655
Ti  0.585  0.155  0.204
Ti  0.944  0.296  0.345
Ti  0.198  0.304  0.804
Pd  0.758  0.521  0.021
Pd  0.293  0.923  0.423
Pd  0.300  0.479  0.979
Pd  0.845  0.726  0.226
Pd  0.798  0.274  0.774
Pd  0.639  0.077  0.577

space group	Ima2
DOS(E_F)	0.86	states/eV/atom
crystal system	orthorhombic

Entry B
TiCoPd | PBE-GGA | optimized geometry

Lattice parameters (Å, degrees): 2.675 4.244 4.244 120.00 90.00 90.00
Atoms (fractional coordinates):
Pd  0.322  0.667  0.333
Ti  0.905  0.000  0.000
Co  0.773  0.333  0.667

space group	P3m1
DOS(E_F)	0.85	states/eV/atom
crystal system	trigonal

Stability summary - winner: entry A; margin: 2.0 kJ/mol of atoms.

Entry A
Ti3CoPd | PBE-GGA | optimized geometry

Lattice parameters (Å, degrees): 5.323 5.323 12.704 80.98 80.98 60.18
Atoms (fractional coordinates):
Ti  0.659  0.990  0.797
Ti  0.835  0.047  0.100
Ti  0.990  0.659  0.297
Ti  0.165  0.953  0.900
Ti  0.164  0.455  0.900
Ti  0.047  0.835  0.600
Ti  0.836  0.545  0.100
Ti  0.545  0.836  0.600
Ti  0.010  0.341  0.703
Ti  0.341  0.010  0.203
Ti  0.953  0.165  0.400
Ti  0.455  0.164  0.400
Co  0.500  0.000  0.000
Co  0.684  0.316  0.250
Co  0.000  0.500  0.500
Co  0.316  0.684  0.750
Pd  0.677  0.440  0.905
Pd  0.560  0.323  0.595
Pd  0.440  0.677  0.405
Pd  0.323  0.560  0.095

space group	C2/c
DOS(E_F)	0.89	states/eV/atom
crystal system	monoclinic

Entry B
Ti3CoPd | PBE-GGA | optimized geometry

Lattice parameters (Å, degrees): 4.358 5.181 7.170 110.83 90.00 90.00
Atoms (fractional coordinates):
Pd  0.195  0.421  0.077
Pd  0.695  0.000  0.477
Ti  0.195  0.330  0.686
Ti  0.195  0.731  0.517
Ti  0.695  0.386  0.317
Ti  0.195  0.036  0.238
Ti  0.695  0.690  0.037
Ti  0.695  0.092  0.868
Co  0.695  0.582  0.677
Co  0.195  0.840  0.877

space group	P2_1/m
DOS(E_F)	1.07	states/eV/atom
crystal system	monoclinic

Entry C
Ti3CoPd | PBE-GGA | optimized geometry

Lattice parameters (Å, degrees): 4.445 4.445 4.445 90.00 90.00 90.00
Atoms (fractional coordinates):
Ti  0.000  0.500  0.000
Ti  0.500  0.000  0.000
Ti  0.000  0.000  0.500
Co  0.000  0.000  0.000
Pd  0.500  0.500  0.500

space group	Pm-3m
DOS(E_F)	1.81	states/eV/atom
crystal system	cubic

Stability summary - winner: entry B; margin: 7.8 kJ/mol of atoms.

Entry A
ZrTiCoPd | PBE-GGA | optimized geometry

Lattice parameters (Å, degrees): 4.511 4.511 4.511 60.00 60.00 60.00
Atoms (fractional coordinates):
Pd  0.250  0.250  0.250
Co  0.750  0.750  0.750
Ti  0.000  0.000  0.000
Zr  0.500  0.500  0.500

space group	F-43m
DOS(E_F)	0.78	states/eV/atom
crystal system	cubic

Entry B
ZrTiCoPd | PBE-GGA | optimized geometry

Lattice parameters (Å, degrees): 3.003 3.003 7.022 90.00 90.00 90.00
Atoms (fractional coordinates):
Pd  0.500  0.500  0.786
Co  0.500  0.500  0.363
Zr  0.000  0.000  0.089
Ti  0.000  0.000  0.547

space group	P4mm
DOS(E_F)	0.89	states/eV/atom
crystal system	tetragonal

Stability summary - winner: entry B; margin: 10.5 kJ/mol of atoms.

Entry A
TlCo2Pd2 | PBE-GGA | optimized geometry

Lattice parameters (Å, degrees): 7.376 7.376 2.895 90.00 90.00 90.00
Atoms (fractional coordinates):
Co  0.110  0.390  0.000
Co  0.390  0.890  0.000
Co  0.610  0.110  0.000
Co  0.890  0.610  0.000
Pd  0.180  0.680  0.500
Pd  0.320  0.180  0.500
Pd  0.820  0.320  0.500
Pd  0.680  0.820  0.500
Tl  0.500  0.500  0.000
Tl  0.000  0.000  0.000

space group	P4/mbm
DOS(E_F)	1.34	states/eV/atom
crystal system	tetragonal

Entry B
TlCo2Pd2 | PBE-GGA | optimized geometry

Lattice parameters (Å, degrees): 7.442 7.442 2.867 90.00 90.00 90.00
Atoms (fractional coordinates):
Tl  0.500  0.500  0.000
Tl  0.000  0.000  0.000
Co  0.663  0.837  0.500
Co  0.163  0.663  0.500
Co  0.837  0.337  0.500
Co  0.337  0.163  0.500
Pd  0.369  0.869  0.000
Pd  0.631  0.131  0.000
Pd  0.131  0.369  0.000
Pd  0.869  0.631  0.000

space group	P4/mbm
DOS(E_F)	3.45	states/eV/atom
crystal system	tetragonal

Stability summary - winner: entry A; margin: 5.1 kJ/mol of atoms.